No. 1
# Pa3P4Pd4

A relaxed structure of Pa3P4Pd4 (PBE, the Alexandria database).

## Properties
Fermi-level density of states ... 8.428 states/eV/f.u.
Total magnetic moment ... 1.7 μB/f.u.
E_tot ... -7.1971 eV/atom
Density ... 10.3 Mg/m³
Space-group type ... Amm2

Unit cell a=3.8175 b=6.4199 c=8.5723 alpha=90.00 beta=90.00 gamma=107.30
Each line ends with the local moment (μB).
Atoms (fractional coordinates):
1 Pa 0.2711 0.5423 0.0000  0.48
2 Pd 0.5619 0.1239 0.0000  -0.01
3 Pa 0.3777 0.7554 0.3067  0.55
4 Pd 0.7157 0.4313 0.5000  0.01
5 Pd 0.0791 0.1582 0.2576  -0.01
6 P 0.7068 0.4136 0.2258  -0.01
7 P 0.9417 0.8834 0.0000  -0.02
8 Pd 0.0791 0.1582 0.7424  -0.01
9 P 0.7068 0.4136 0.7742  -0.01
10 P 0.9809 0.9617 0.5000  -0.01
11 Pa 0.3777 0.7554 0.6933  0.55

No. 2
# Pa2P3Pd

A relaxed structure of Pa2P3Pd (PBE, the Alexandria database).

## Properties
Fermi-level density of states ... 5.832 states/eV/f.u.
Total magnetic moment ... 0.0 μB/f.u.
E_tot ... -7.5968 eV/atom
Excess energy over the best structure of this formula in the dataset ... 0.2393 eV/atom
Density ... 8.9 Mg/m³
Space-group type ... C2/c

Unit cell a=5.6785 b=8.0101 c=6.4945 alpha=109.22 beta=115.92 gamma=90.00
Atoms (fractional coordinates):
1 Pd 0.8750 0.7500 0.0000
2 P 0.5428 0.2500 0.0000
3 P 0.8339 0.4314 0.6920
4 P 0.4572 0.7500 0.0000
5 P 0.1418 0.0686 0.3080
6 P 0.1661 0.5686 0.3080
7 P 0.8582 0.9314 0.6920
8 Pa 0.6838 0.5891 0.3438
9 Pa 0.6600 0.0891 0.3438
10 Pa 0.3162 0.4109 0.6562
11 Pa 0.3400 0.9109 0.6562
12 Pd 0.1250 0.2500 0.0000

No. 3
# PaP4Pd6

A relaxed structure of PaP4Pd6 (PBE, the Alexandria database).

## Properties
Fermi-level density of states ... 12.616 states/eV/f.u.
Total magnetic moment ... 0.0 μB/f.u.
E_tot ... -6.1816 eV/atom
Density ... 9.5 Mg/m³
Space-group type ... P-6m2

Unit cell a=3.8051 b=7.2679 c=7.2679 alpha=120.00 beta=90.00 gamma=90.00
Atoms (fractional coordinates):
1 Pd 0.5000 0.2023 0.4045
2 P 0.5000 0.3561 0.1781
3 Pa 0.0000 0.0000 0.0000
4 P 0.5000 0.8219 0.6439
5 Pd 0.5000 0.5955 0.7977
6 P 0.0000 0.3333 0.6667
7 Pd 0.0000 0.5364 0.0728
8 Pd 0.0000 0.9272 0.4636
9 Pd 0.0000 0.5364 0.4636
10 Pd 0.5000 0.2023 0.7977
11 P 0.5000 0.8219 0.1781

No. 4
# PaP2Pd3

A relaxed structure of PaP2Pd3 (PBE, the Alexandria database).

## Properties
Fermi-level density of states ... 2.312 states/eV/f.u.
Total magnetic moment ... 0.0 μB/f.u.
E_tot ... -6.7712 eV/atom
Density ... 10.1 Mg/m³
Space-group type ... C2/m

Unit cell a=4.1503 b=7.7683 c=7.4035 alpha=117.98 beta=90.00 gamma=105.49
Atoms (fractional coordinates):
1 P 0.7992 0.5984 0.2533
2 Pd 0.9450 0.8900 0.6343
3 P 0.2008 0.4016 0.7467
4 P 0.4994 0.9989 0.8398
5 Pd 0.6083 0.2167 0.6747
6 Pa 0.1464 0.2929 0.0569
7 Pa 0.8536 0.7071 0.9431
8 Pd 0.3917 0.7833 0.3253
9 Pd 0.3148 0.6296 0.6106
10 Pd 0.0550 0.1100 0.3657
11 Pd 0.6852 0.3704 0.3894
12 P 0.5006 0.0011 0.1602

No. 5
# Pa2PPd3

A relaxed structure of Pa2PPd3 (PBE, the Alexandria database).

## Properties
Fermi-level density of states ... 5.405 states/eV/f.u.
Total magnetic moment ... 0.5 μB/f.u.
E_tot ... -7.4187 eV/atom
Density ... 11.8 Mg/m³
Space-group type ... Fmmm

Unit cell a=5.5519 b=5.5519 c=8.9107 alpha=113.37 beta=113.37 gamma=74.13
Each line ends with the local moment (μB).
Atoms (fractional coordinates):
1 Pa 0.2500 0.7500 0.5000  0.36
2 Pa 0.7744 0.2256 0.0000  0.10
3 Pa 0.7500 0.2500 0.5000  0.36
4 Pa 0.2256 0.7744 0.0000  0.10
5 P 0.3328 0.3328 0.6655  -0.01
6 Pd 0.6475 0.6475 0.8265  -0.01
7 Pd 0.8211 0.8211 0.1735  -0.01
8 Pd 0.8270 0.8270 0.6541  0.01
9 Pd 0.1730 0.1730 0.3459  0.01
10 Pd 0.3525 0.3525 0.1735  -0.01
11 Pd 0.1789 0.1789 0.8265  -0.01
12 P 0.6672 0.6672 0.3345  -0.01

No. 6
# Pa2PPd

A relaxed structure of Pa2PPd (PBE, the Alexandria database).

## Properties
Fermi-level density of states ... 5.054 states/eV/f.u.
Total magnetic moment ... 0.0 μB/f.u.
E_tot ... -7.7144 eV/atom
Density ... 11.1 Mg/m³
Space-group type ... R-3m

Unit cell a=3.3618 b=3.3618 c=9.3760 alpha=79.67 beta=79.67 gamma=60.00
Atoms (fractional coordinates):
1 Pa 0.9030 0.9030 0.2909
2 Pd 0.0000 0.0000 0.0000
3 P 0.5000 0.5000 0.5000
4 Pa 0.0970 0.0970 0.7091